The following is a DFT calculation (PBE) of a geometry-optimized Dy2HoCd3Au3 structure.

a b c (Å): 3.902 13.484 7.794
angles (deg): 90.00 90.00 90.00
Space group Amm2 (No. 38)
Unique sites:
Dy  0.000  0.202  0.000 (multiplicity 4)
Ho  0.000  0.000  0.395 (multiplicity 2)
Cd  0.500  0.000  0.061 (multiplicity 2)
Cd  0.500  0.131  0.667 (multiplicity 4)
Au  0.000  0.000  0.798 (multiplicity 2)
Au  0.500  0.166  0.299 (multiplicity 4)

Results
Calculated formation energy ... -0.6656 eV per atom


The following is a DFT calculation (PBE) of a geometry-optimized La2DyCd2Si4Au2 structure.

a b c (Å): 4.276 4.358 25.931
angles (deg): 90.00 90.00 90.00
Space group Immm (No. 71)
Unique sites:
La  0.000  0.000  0.141 (multiplicity 4)
Dy  0.000  0.500  0.000 (multiplicity 2)
Cd  0.000  0.500  0.250 (multiplicity 4)
Si  0.000  0.000  0.316 (multiplicity 4)
Si  0.000  0.500  0.455 (multiplicity 4)
Au  0.000  0.000  0.412 (multiplicity 4)


The following is a DFT calculation (PBE) of a geometry-optimized Dy3Mg3CdAu2 structure.

a b c (Å): 7.6787 7.6787 4.1411
angles (deg): 90.00 90.00 120.00
Space group P-62m (No. 189)
Unique sites:
Dy  0.0000  0.5808  0.0000 (multiplicity 3)
Mg  0.0000  0.2543  0.5000 (multiplicity 3)
Cd  0.0000  0.0000  0.0000 (multiplicity 1)
Au  0.3333  0.6667  0.5000 (multiplicity 2)


The following is a DFT calculation (PBE) of a geometry-optimized Tb2DyCd3NiAu2 structure.

a b c (Å): 3.918 13.196 7.627
angles (deg): 90.00 90.00 90.00
Space group Amm2 (No. 38)
Unique sites:
Tb  0.000  0.200  0.000 (multiplicity 4)
Dy  0.000  0.000  0.400 (multiplicity 2)
Cd  0.500  0.000  0.041 (multiplicity 2)
Cd  0.500  0.121  0.679 (multiplicity 4)
Ni  0.000  0.000  0.799 (multiplicity 2)
Au  0.500  0.166  0.300 (multiplicity 4)

Results
Calculated formation energy ... -0.5820 eV per atom


The following is a DFT calculation (PBE) of a geometry-optimized Pr2DyCd3Au3 structure.

a b c (Å): 4.025 13.641 7.924
angles (deg): 90.00 90.00 90.00
Space group Amm2 (No. 38)
Unique sites:
Pr  0.000  0.202  0.000 (multiplicity 4)
Dy  0.000  0.000  0.392 (multiplicity 2)
Cd  0.500  0.000  0.058 (multiplicity 2)
Cd  0.500  0.128  0.666 (multiplicity 4)
Au  0.000  0.000  0.794 (multiplicity 2)
Au  0.500  0.162  0.300 (multiplicity 4)

Results
Calculated formation energy ... -0.6525 eV per atom


The following is a DFT calculation (PBE) of a geometry-optimized Tb2DyCd3Au3 structure.

a b c (Å): 3.916 13.515 7.811
angles (deg): 90.00 90.00 90.00
Space group Amm2 (No. 38)
Unique sites:
Tb  0.000  0.202  0.000 (multiplicity 4)
Dy  0.000  0.000  0.605 (multiplicity 2)
Cd  0.500  0.000  0.939 (multiplicity 2)
Cd  0.500  0.131  0.333 (multiplicity 4)
Au  0.000  0.000  0.202 (multiplicity 2)
Au  0.500  0.166  0.701 (multiplicity 4)

Results
Calculated formation energy ... -0.6682 eV per atom


Number 1: total magnetic moment 0.03 μB/cell, calculated total energy -3.584 eV/atom. Number 2: total magnetic moment 0.00 μB/cell, calculated total energy -4.670 eV/atom. Number 3: total magnetic moment 0.02 μB/cell, calculated total energy -3.406 eV/atom. Number 4: total magnetic moment 0.07 μB/cell, calculated total energy -3.765 eV/atom. Number 5: total magnetic moment 0.01 μB/cell, calculated total energy -3.612 eV/atom. Number 6: total magnetic moment 0.03 μB/cell, calculated total energy -3.596 eV/atom.